Entry from Alexandria via LeMat-Bulk: an optimized crystal structure of NpSc2Ag3S6 (PBE).

Results
N(E_F): 9.1 states/eV per cell
Total magnetization: 0.333 μB/atom
ΔE_f (raw): -1.0359 eV per atom

```
NpSc2Ag3S6
1.0
3.3665 -5.8503 0.0000
3.3665 5.8503 0.0000
-2.2132 0.0000 6.1915
Np Sc Ag S
1 2 3 6
Cartesian
0.0000 0.0000 0.0000
3.3665 1.9685 0.0000
3.3665 -1.9685 0.0000
2.2599 3.9939 3.0958
2.2599 0.0000 3.0958
2.2599 -3.9939 3.0958
1.1720 2.0433 1.4323
0.1419 0.0000 4.7556
1.1720 -2.0433 1.4323
3.3477 2.0433 4.7593
4.3778 0.0000 1.4359
3.3477 -2.0433 4.7593
```